1.
A relaxed RbNd2I5 crystal. Source: the Open Quantum Materials Database, functional PBE-GGA.

abc: 9.9993 8.2332 15.0322
angles: 90.00 90.19 90.00
Closest atoms and distances in Å follow each position.
Space group P2_1/c (No. 14)
Unique sites:
Rb 0.0000 0.0743 0.1600 (multiplicity 4)  6 I 3.53-3.91
Nd 0.3040 0.5395 0.9975 (multiplicity 4)  6 I 3.16-3.41
Nd 0.4925 0.0993 0.1605 (multiplicity 4)  6 I 3.19-3.42
I 0.0335 0.1771 0.4252 (multiplicity 4)  2 Nd 3.41-3.75, 1 Rb 3.53, 1 I 3.74
I 0.2627 0.1364 0.6864 (multiplicity 4)  2 Nd 3.19-3.22, 1 Rb 3.57
I 0.2698 0.6540 0.7875 (multiplicity 4)  3 Nd 3.22-3.60, 1 Rb 3.59
I 0.2935 0.5529 0.4970 (multiplicity 4)  3 Nd 3.22-3.40
I 0.4728 0.1901 0.3726 (multiplicity 4)  4 Nd 3.16-3.42

Properties
The value obtained for the density is 5.413 g cm⁻³. Its calculated total energy is -3.51 eV/atom.


2.
A relaxed NaNd2Be crystal. Source: the Open Quantum Materials Database, functional PBE-GGA.

abc: 11.5930 5.3210 7.3731
angles: 90.00 103.44 90.00
Closest atoms and distances in Å follow each position.
Space group C2/m (No. 12)
Unique sites:
Na 0.0390 0.0000 0.2297 (multiplicity 4)  2 Be 2.80
Nd 0.1433 0.5000 0.5560 (multiplicity 4)  2 Be 2.89-3.23, 1 Nd 3.23
Nd 0.2309 0.5000 0.1387 (multiplicity 4)  2 Be 2.77-2.96
Be 0.0244 0.5000 0.8599 (multiplicity 4)  1 Be 2.27

Properties
The value obtained for the density is 4.812 g cm⁻³. Its calculated total energy is -3.26 eV/atom.


3.
A relaxed Er2TmLu4Ni2Te2 crystal. Source: the Open Quantum Materials Database, functional PBE-GGA.

abc: 3.8021 15.2787 9.4667
angles: 90.00 90.00 90.00
Closest atoms and distances in Å follow each position.
Space group Imm2 (No. 44)
Unique sites:
Er 0.0000 0.1344 0.0000 (multiplicity 4)  2 Ni 2.75
Tm 0.0000 0.0000 0.4198 (multiplicity 2)  3 Te 3.15-3.18
Lu 0.0000 0.3146 0.7964 (multiplicity 4)  2 Ni 2.74
Lu 0.0000 0.3532 0.1464 (multiplicity 4)  2 Ni 2.77
Ni 0.0000 0.2354 0.4886 (multiplicity 4)  4 Lu 2.74-2.77, 2 Er 2.75
Te 0.0000 0.0000 0.7552 (multiplicity 2)  2 Er 3.10, 4 Lu 3.12, 1 Tm 3.18
Te 0.0000 0.5000 0.6545 (multiplicity 2)  2 Lu 3.13, 2 Tm 3.15, 4 Er 3.16

Properties
The value obtained for the density is 9.517 g cm⁻³. The value obtained for the relative energy among the computed polymorphs is 2 meV per atom.


4.
A relaxed NdCuGeS3 crystal. Source: the Open Quantum Materials Database, functional PBE-GGA.

abc: 3.8417 12.4335 10.6369
angles: 90.00 90.00 90.00
Closest atoms and distances in Å follow each position.
Space group Cmcm (No. 63)
Unique sites:
Nd 0.0000 0.0000 0.0000 (multiplicity 4)  6 S 2.82-2.88
Cu 0.0000 0.4739 0.2500 (multiplicity 4)  4 S 2.32-2.39
Ge 0.0000 0.2314 0.7500 (multiplicity 4)  6 S 2.79-2.95
S 0.0000 0.0882 0.2500 (multiplicity 4)  2 Cu 2.39
S 0.0000 0.3508 0.0857 (multiplicity 8)  1 Cu 2.32

Properties
The value obtained for the density is 4.924 g cm⁻³. Its calculated total energy is -5.13 eV/atom.


5.
A relaxed CoIr2Pd crystal. Source: the Open Quantum Materials Database, functional PBE-GGA.

abc: 6.1137 6.1137 6.1137
angles: 90.00 90.00 90.00
Closest atoms and distances in Å follow each position.
Space group F-43m (No. 216)
Unique sites:
Co 0.0000 0.0000 0.0000 (multiplicity 4)  4 Ir 2.65, 4 Pd 2.65
Ir 0.0000 0.0000 0.5000 (multiplicity 4)  4 Ir 2.65, 4 Pd 2.65
Ir 0.2500 0.2500 0.2500 (multiplicity 4)  4 Co 2.65, 4 Ir 2.65
Pd 0.2500 0.2500 0.7500 (multiplicity 4)  4 Co 2.65, 4 Ir 2.65

Properties
The value obtained for the density is 15.980 g cm⁻³. For the energy relative to the elements, the calculation gives 0.3757 eV/atom.


6.
A relaxed ReNi2Sn crystal. Source: the Open Quantum Materials Database, functional PBE-GGA.

abc: 6.1327 6.1327 6.1327
angles: 90.00 90.00 90.00
Closest atoms and distances in Å follow each position.
Space group F-43m (No. 216)
Unique sites:
Re 0.0000 0.0000 0.0000 (multiplicity 4)  4 Sn 2.66, 4 Ni 2.66
Ni 0.0000 0.0000 0.5000 (multiplicity 4)  4 Ni 2.66, 4 Sn 2.66
Ni 0.2500 0.2500 0.2500 (multiplicity 4)  4 Re 2.66, 4 Ni 2.66
Sn 0.2500 0.2500 0.7500 (multiplicity 4)  4 Re 2.66, 4 Ni 2.66

Properties
The value obtained for the density is 12.162 g cm⁻³. Its calculated total energy is -6.57 eV/atom.